[1]
Pd3AuO | PBE-GGA | relaxed

Cell lengths 4.2240, 4.2240, 4.2240 Å; angles 90.00, 90.00, 90.00 degrees
Closest atoms and distances in Å follow each position.
Fractional positions:
1 Au 0.5000 0.5000 0.5000  12 Pd 2.99
2 Pd 0.0000 0.0000 0.5000  2 O 2.11
3 Pd 0.0000 0.5000 0.0000  2 O 2.11
4 Pd 0.5000 0.0000 0.0000  2 O 2.11
5 O 0.0000 0.0000 0.0000  6 Pd 2.11

Values from the calculation:
Raw total energy = -4.75 eV/atom
Energy relative to the elements, uncorrected = 0.06 eV/f.u.
Energy above the most stable polymorph in this dataset = 0.0 meV per atom
Magnetization = 0.0 μB/cell


[2]
Pd2AuO5 | PBE-GGA | relaxed

Cell lengths 4.1856, 5.4651, 10.3708 Å; angles 90.00, 90.00, 112.52 degrees
Closest atoms and distances in Å follow each position.
Fractional positions:
1 Pd 0.8570 0.7140 0.0653  6 O 2.00-2.24
2 Pd 0.8570 0.7140 0.4347  6 O 2.00-2.24
3 Pd 0.1430 0.2860 0.9347  6 O 2.00-2.24
4 Pd 0.1430 0.2860 0.5653  6 O 2.00-2.24
5 O 0.0552 0.1104 0.3922  2 Pd 2.00-2.05, 1 Au 2.08
6 O 0.7559 0.5119 0.2500  2 Au 2.17, 2 Pd 2.17
7 O 0.9448 0.8896 0.6078  2 Pd 2.00-2.05, 1 Au 2.08
8 O 0.0552 0.1104 0.1078  2 Pd 2.00-2.05, 1 Au 2.08
9 O 0.2441 0.4881 0.7500  2 Au 2.17, 2 Pd 2.17
10 O 0.9448 0.8896 0.8922  2 Pd 2.00-2.05, 1 Au 2.08
11 O 0.3167 0.6334 0.4308  3 Pd 2.13-2.24, 1 Au 2.22
12 O 0.3167 0.6334 0.0692  3 Pd 2.13-2.24, 1 Au 2.22
13 O 0.6833 0.3666 0.5692  3 Pd 2.13-2.24, 1 Au 2.22
14 O 0.6833 0.3666 0.9308  3 Pd 2.13-2.24, 1 Au 2.22
15 Au 0.1998 0.3996 0.2500  6 O 2.08-2.22
16 Au 0.8002 0.6004 0.7500  6 O 2.08-2.22

Values from the calculation:
Raw total energy = -4.83 eV/atom
Energy relative to the elements, uncorrected = -0.19 eV/f.u.
Magnetization = 0.0 μB/cell


[3]
Pd2Au2O | PBE-GGA | relaxed

Cell lengths 3.5881, 3.5881, 7.3482 Å; angles 75.87, 75.87, 90.00 degrees
Closest atoms and distances in Å follow each position.
Fractional positions:
1 Pd 0.7500 0.2500 0.5000  4 Pd 2.54, 4 Au 2.78
2 Pd 0.2500 0.7500 0.5000  4 Pd 2.54, 4 Au 2.78
3 O 0.0000 0.0000 0.0000  8 Au 2.86
4 Au 0.5962 0.5962 0.8075  1 Au 2.65, 4 Pd 2.78, 4 O 2.86
5 Au 0.4038 0.4038 0.1925  1 Au 2.65, 4 Pd 2.78, 4 O 2.86

Values from the calculation:
Raw total energy = -3.66 eV/atom
Energy relative to the elements, uncorrected = 3.62 eV/f.u.
Magnetization = 0.0 μB/cell


[4]
PdAuO | PBE-GGA | relaxed

Cell lengths 4.1415, 4.6967, 7.1997 Å; angles 63.38, 68.40, 52.43 degrees
Closest atoms and distances in Å follow each position.
Fractional positions:
1 Au 0.9643 0.4885 0.0121  1 O 2.27
2 Au 0.2262 0.0199 0.8105  1 O 2.27
3 Pd 0.6537 0.3435 0.5505  2 O 2.00-2.03
4 Pd 0.5366 0.1652 0.2721  2 O 2.00-2.03
5 O 0.9560 0.6266 0.2782  2 Pd 2.00-2.03
6 O 0.2343 0.8821 0.5444  2 Pd 2.00-2.03

Values from the calculation:
Raw total energy = -4.34 eV/atom
Energy relative to the elements, uncorrected = 0.40 eV/f.u.
Energy above the most stable polymorph in this dataset = 26.4 meV per atom
Magnetization = 0.0 μB/cell